w.
Compound: KIn2Ir
Source: Alexandria
Functional: GGA-PBEsol
Structure: relaxed

Results
volume	27.08	Å³/atom

Cell: 3.062 4.378 8.082 Å, 90.00 90.04 90.00°
Space group Pm (No. 6)
One atom of each set of equivalent atoms:
K: 0.000 0.000 0.000
In: 0.501 0.500 0.313
In: 0.502 0.000 0.611
Ir: 0.002 0.500 0.596

---

x.
Compound: KIn2Ir
Source: Alexandria
Functional: GGA-PBEsol
Structure: relaxed

Results
volume	21.33	Å³/atom

Cell: 6.988 6.988 6.988 Å, 90.00 90.00 90.00°
Space group F-43m (No. 216)
One atom of each set of equivalent atoms:
K: 0.000 0.000 0.000
In: 0.000 0.000 0.500
In: 0.250 0.250 0.750
Ir: 0.250 0.250 0.250

---

Name the most stable of them. w.

---

w.
Compound: La3InIr
Source: Alexandria
Functional: GGA-PBEsol
Structure: relaxed

Results
volume	37.65	Å³/atom

Cell: 5.731 5.731 5.731 Å, 90.00 90.00 90.00°
Space group Pm-3m (No. 221)
One atom of each set of equivalent atoms:
La: 0.000 0.000 0.500
In: 0.000 0.000 0.000
Ir: 0.500 0.500 0.500

---

x.
Compound: La3InIr
Source: Alexandria
Functional: GGA-PBEsol
Structure: relaxed

Results
volume	29.40	Å³/atom

Cell: 5.885 7.460 7.176 Å, 90.00 111.07 90.00°
Space group P2_1/m (No. 11)
One atom of each set of equivalent atoms:
La: 0.156 0.250 0.146
La: 0.305 0.019 0.710
In: 0.214 0.750 0.317
Ir: 0.378 0.750 0.989

---

Name the most stable of them. x.

---

w.
Compound: LiIn2Ir
Source: Alexandria
Functional: GGA-PBEsol
Structure: relaxed

Results
volume	18.55	Å³/atom

Cell: 3.0953 3.0953 26.8208 Å, 90.00 90.00 120.00°
Space group R-3m (No. 166, hexagonal axes)
One atom of each set of equivalent atoms:
Li: 0.0000 0.0000 0.0000
In: 0.0000 0.0000 0.2456
Ir: 0.0000 0.0000 0.5000

---

x.
Compound: LiIn2Ir
Source: Alexandria
Functional: GGA-PBEsol
Structure: relaxed

Results
volume	16.75	Å³/atom

Cell: 6.447 6.447 6.447 Å, 90.00 90.00 90.00°
Space group Fm-3m (No. 225)
One atom of each set of equivalent atoms:
Li: 0.000 0.000 0.000
In: 0.250 0.250 0.250
Ir: 0.000 0.000 0.500

---

Name the most stable of them. x.

---

w.
Compound: MgInIr2
Source: Alexandria
Functional: GGA-PBEsol
Structure: relaxed

Results
volume	15.60	Å³/atom

Cell: 6.296 6.296 6.296 Å, 90.00 90.00 90.00°
Space group Fm-3m (No. 225)
One atom of each set of equivalent atoms:
Mg: 0.000 0.000 0.000
In: 0.000 0.000 0.500
Ir: 0.250 0.250 0.250

---

x.
Compound: MgInIr2
Source: Alexandria
Functional: GGA-PBEsol
Structure: relaxed

Results
volume	16.03	Å³/atom

Cell: 10.145 2.900 4.784 Å, 90.00 114.38 90.00°
Space group Cm (No. 8)
One atom of each set of equivalent atoms:
Mg: 0.000 0.000 0.000
In: 0.222 0.000 0.599
Ir: 0.254 0.500 0.111
Ir: 0.473 0.000 0.499

---

y.
Compound: MgInIr2
Source: Alexandria
Functional: GGA-PBEsol
Structure: relaxed

Results
volume	15.94	Å³/atom

Cell: 2.851 4.003 5.589 Å, 90.00 90.00 90.00°
Space group Pmm2 (No. 25)
One atom of each set of equivalent atoms:
Mg: 0.000 0.000 0.000
In: 0.500 0.500 0.291
Ir: 0.000 0.000 0.526
Ir: 0.500 0.500 0.788

---

Name the most stable of them. w.

---

w.
Compound: MgInIr2
Source: Alexandria
Functional: GGA-PBEsol
Structure: relaxed

Results
volume	16.01	Å³/atom

Cell: 5.681 8.901 2.848 Å, 90.00 117.21 90.00°
Space group C2/m (No. 12)
One atom of each set of equivalent atoms:
Mg: 0.000 0.000 0.000
In: 0.000 0.500 0.000
Ir: 0.250 0.250 0.500

---

x.
Compound: MgInIr2
Source: Alexandria
Functional: GGA-PBEsol
Structure: relaxed

Results
volume	15.60	Å³/atom

Cell: 3.164 3.164 6.233 Å, 90.00 90.00 90.00°
Space group P4/mmm (No. 123)
One atom of each set of equivalent atoms:
Mg: 0.000 0.000 0.000
In: 0.000 0.000 0.500
Ir: 0.500 0.500 0.244

---

Name the most stable of them. x.

---

w.
Compound: InReIr2
Source: Alexandria
Functional: GGA-PBEsol
Structure: relaxed

Results
volume	15.65	Å³/atom

Cell: 6.303 6.303 6.303 Å, 90.00 90.00 90.00°
Space group Fm-3m (No. 225)
One atom of each set of equivalent atoms:
In: 0.000 0.000 0.000
Re: 0.000 0.000 0.500
Ir: 0.250 0.250 0.250

---

x.
Compound: InReIr2
Source: Alexandria
Functional: GGA-PBEsol
Structure: relaxed

Results
volume	15.51	Å³/atom

Cell: 2.843 4.606 4.737 Å, 90.00 90.00 90.00°
Space group Pmmm (No. 47)
One atom of each set of equivalent atoms:
In: 0.000 0.000 0.000
Re: 0.500 0.000 0.500
Ir: 0.000 0.500 0.500
Ir: 0.500 0.500 0.000

---

Name the most stable of them. x.

---

w.
Compound: InIrRh
Source: Alexandria
Functional: GGA-PBEsol
Structure: relaxed

Results
volume	18.27	Å³/atom

Cell: 6.030 6.030 6.030 Å, 90.00 90.00 90.00°
Space group F-43m (No. 216)
One atom of each set of equivalent atoms:
In: 0.000 0.000 0.000
Ir: 0.250 0.250 0.750
Rh: 0.250 0.250 0.250

---

x.
Compound: InIrRh
Source: Alexandria
Functional: GGA-PBEsol
Structure: relaxed

Results
volume	15.55	Å³/atom

Cell: 2.838 3.870 8.495 Å, 90.00 90.00 90.00°
Space group Imm2 (No. 44)
One atom of each set of equivalent atoms:
In: 0.000 0.000 0.000
Ir: 0.000 0.000 0.671
Rh: 0.000 0.000 0.329

---

Name the most stable of them. x.

---

w.
Compound: InSbIr2
Source: Alexandria
Functional: GGA-PBEsol
Structure: relaxed

Results
volume	25.32	Å³/atom

Cell: 6.058 6.058 11.037 Å, 90.00 90.00 90.00°
Space group I-42d (No. 122)
One atom of each set of equivalent atoms:
In: 0.000 0.000 0.000
Sb: 0.000 0.000 0.500
Ir: 0.237 0.250 0.625

---

x.
Compound: InSbIr2
Source: Alexandria
Functional: GGA-PBEsol
Structure: relaxed

Results
volume	17.41	Å³/atom

Cell: 9.533 3.397 4.416 Å, 90.00 103.08 90.00°
Space group Cm (No. 8)
One atom of each set of equivalent atoms:
In: 0.000 0.000 0.000
Sb: 0.255 0.500 0.390
Ir: 0.266 0.000 0.901
Ir: 0.486 0.000 0.492

---

Name the most stable of them. x.

---

w.
Compound: InTeIr2
Source: Alexandria
Functional: GGA-PBEsol
Structure: relaxed

Results
volume	17.75	Å³/atom

Cell: 8.540 3.166 5.385 Å, 90.00 102.72 90.00°
Space group C2/m (No. 12)
One atom of each set of equivalent atoms:
In: 0.000 0.000 0.000
Te: 0.000 0.500 0.500
Ir: 0.250 0.000 0.740

---

x.
Compound: InTeIr2
Source: Alexandria
Functional: GGA-PBEsol
Structure: relaxed

Results
volume	18.83	Å³/atom

Cell: 3.024 3.024 8.234 Å, 90.00 90.00 90.00°
Space group P4mm (No. 99)
One atom of each set of equivalent atoms:
In: 0.000 0.000 0.000
Te: 0.500 0.500 0.643
Ir: 0.000 0.000 0.437
Ir: 0.500 0.500 0.218

---

Name the most stable of them. w.

---

w.
Compound: In2IrW
Source: Alexandria
Functional: GGA-PBEsol
Structure: relaxed

Results
volume	17.44	Å³/atom

Cell: 5.816 9.270 2.890 Å, 90.00 116.40 90.00°
Space group C2/m (No. 12)
One atom of each set of equivalent atoms:
In: 0.250 0.250 0.000
Ir: 0.000 0.000 0.500
W: 0.000 0.500 0.500

---

x.
Compound: In2IrW
Source: Alexandria
Functional: GGA-PBEsol
Structure: relaxed

Results
volume	17.27	Å³/atom

Cell: 9.320 2.927 5.169 Å, 90.00 101.61 90.00°
Space group C2/m (No. 12)
One atom of each set of equivalent atoms:
In: 0.246 0.000 0.246
Ir: 0.000 0.500 0.000
W: 0.000 0.000 0.500

---

Name the most stable of them. x.

---

w.
Compound: K5In
Source: Alexandria
Functional: GGA-PBEsol
Structure: relaxed

Results
volume	55.49	Å³/atom

Cell: 15.166 4.605 10.215 Å, 90.00 111.04 90.00°
Space group Cm (No. 8)
One atom of each set of equivalent atoms:
K: 0.000 0.000 0.000
K: 0.018 0.000 0.410
K: 0.203 0.500 0.848
K: 0.226 0.500 0.261
K: 0.361 0.000 0.633
In: 0.361 0.000 0.126

---

x.
Compound: K5In
Source: Alexandria
Functional: GGA-PBEsol
Structure: relaxed

Results
volume	61.33	Å³/atom

Cell: 7.5970 7.5970 7.3622 Å, 90.00 90.00 120.00°
Space group P6/mmm (No. 191)
One atom of each set of equivalent atoms:
K: 0.0000 0.5000 0.0000
K: 0.3333 0.6667 0.5000
In: 0.0000 0.0000 0.5000

---

Name the most stable of them. w.

---

w.
Compound: KLiIn2
Source: Alexandria
Functional: GGA-PBEsol
Structure: relaxed

Results
volume	25.88	Å³/atom

Cell: 3.447 3.523 8.525 Å, 90.00 90.00 90.00°
Space group Pmmm (No. 47)
One atom of each set of equivalent atoms:
K: 0.000 0.000 0.000
Li: 0.000 0.000 0.500
In: 0.500 0.500 0.317

---

x.
Compound: KLiIn2
Source: Alexandria
Functional: GGA-PBEsol
Structure: relaxed

Results
volume	28.76	Å³/atom

Cell: 3.737 3.737 8.237 Å, 90.00 90.00 90.00°
Space group P4mm (No. 99)
One atom of each set of equivalent atoms:
K: 0.000 0.000 0.000
Li: 0.500 0.500 0.342
In: 0.000 0.000 0.490
In: 0.500 0.500 0.703

---

Name the most stable of them. w.

---

w.
Compound: KMnIn2
Source: Alexandria
Functional: GGA-PBEsol
Structure: relaxed

Results
volume	25.24	Å³/atom

Cell: 5.915 3.010 6.362 Å, 90.00 116.93 90.00°
Space group P2/m (No. 10)
One atom of each set of equivalent atoms:
K: 0.000 0.000 0.000
Mn: 0.000 0.500 0.500
In: 0.500 0.000 0.500
In: 0.500 0.500 0.000

---

x.
Compound: KMnIn2
Source: Alexandria
Functional: GGA-PBEsol
Structure: relaxed

Results
volume	26.58	Å³/atom

Cell: 8.976 3.093 7.699 Å, 90.00 95.86 90.00°
Space group C2/m (No. 12)
One atom of each set of equivalent atoms:
K: 0.000 0.000 0.000
Mn: 0.000 0.500 0.500
In: 0.239 0.000 0.675

---

y.
Compound: KMnIn2
Source: Alexandria
Functional: GGA-PBEsol
Structure: relaxed

Results
volume	27.66	Å³/atom

Cell: 3.676 3.676 8.189 Å, 90.00 90.00 90.00°
Space group P4mm (No. 99)
One atom of each set of equivalent atoms:
K: 0.000 0.000 0.000
Mn: 0.500 0.500 0.340
In: 0.000 0.000 0.442
In: 0.500 0.500 0.681

---

z.
Compound: KMnIn2
Source: Alexandria
Functional: GGA-PBEsol
Structure: relaxed

Results
volume	26.97	Å³/atom

Cell: 3.155 4.264 8.019 Å, 90.00 90.00 90.00°
Space group Pmm2 (No. 25)
One atom of each set of equivalent atoms:
K: 0.000 0.000 0.000
Mn: 0.500 0.500 0.339
In: 0.000 0.000 0.440
In: 0.500 0.500 0.685

---

Name the most stable of them. x.